{
  "formula": "Rb2TlIn4Hg3",
  "functional": "PBE",
  "state": "relaxed",
  "crystal_system": "tetragonal",
  "dft_energy_ev_per_atom": -1.733,
  "rho_g_cm3": 7.3,
  "lattice": [[-1.5209, 1.3372, 4.6649], [2.2949, -4.1093, 1.9261], [10.6064, 6.6505, 1.5518]],
  "species": ["In", "In", "In", "In", "Rb", "Rb", "Hg", "Hg", "Hg", "Tl"],
  "fractional_positions": [[0.0000, 0.0000, 0.0000], [0.0000, 0.5000, 0.3656], [0.5000, 0.5000, 0.0000], [0.5000, 0.0000, 0.6344], [0.5000, 0.0000, 0.2500], [0.0000, 0.5000, 0.7500], [0.0000, 0.5000, 0.1332], [0.0000, 0.0000, 0.5000], [0.5000, 0.0000, 0.8668], [0.5000, 0.5000, 0.5000]]
}



{
  "formula": "MgHPt2Au",
  "functional": "PBE",
  "state": "relaxed",
  "crystal_system": "tetragonal",
  "polymorph_energy_mev_per_atom": 49,
  "dft_energy_ev_per_atom": -4.407,
  "rho_g_cm3": 14.9,
  "lattice": [[4.0546, 0.0000, 0.0000], [0.0000, 4.1419, 0.0000], [0.0000, 0.0000, 4.0546]],
  "species": ["Pt", "Pt", "Mg", "H", "Au"],
  "fractional_positions": [[0.0000, 0.0000, 0.5000], [0.5000, 0.0000, 0.0000], [0.5000, 0.5000, 0.5000], [0.0000, 0.0000, 0.0000], [0.0000, 0.5000, 0.0000]]
}